Computed, not measured: a relaxed MgZn2Ag3 crystal at the PBE level of DFT.

```
MgZn2Ag3
1.0
3.284 0.000 0.000
0.000 3.284 0.000
0.000 0.000 9.400
Mg Zn Ag
1 2 3
direct
0.000 0.000 0.000
0.000 0.000 0.337
0.000 0.000 0.663
0.500 0.500 0.179
0.500 0.500 0.500
0.500 0.500 0.821
```

Properties
space-group type = No. 123
calculated formation energy = -0.105 eV/atom